Entry 1:
This record from Alexandria via LeMat-Bulk describes a relaxed AcSn4Hg crystal. The functional is PBE.

Cell and atoms, written as extended XYZ:
```
12
Lattice="3.505 -9.043 0.000 3.505 9.043 0.000 0.000 0.000 5.537" Properties=species:S:1:pos:R:3 pbc="T T T"
Ac 3.505 7.048 4.152
Ac 3.505 -7.048 1.384
Sn 1.989 5.083 1.384
Sn 2.035 0.934 4.152
Sn 2.035 -0.934 1.384
Sn 5.021 5.083 1.384
Sn 1.989 -5.083 4.152
Sn 4.975 0.934 4.152
Sn 4.975 -0.934 1.384
Sn 5.021 -5.083 4.152
Hg 3.505 2.150 1.384
Hg 3.505 -2.150 4.152
```

Calculated values
energy above the lowest structure with this stoichiometry	0.0	kJ/mol of formula units

=====

Entry 2:
This record from Alexandria via LeMat-Bulk describes a relaxed LiAs2AuBr crystal. The functional is PBE.

Cell and atoms, written as extended XYZ:
```
5
Lattice="4.688 0.000 0.000 0.000 4.688 0.000 0.000 0.000 4.782" Properties=species:S:1:pos:R:3 pbc="T T T"
Li 0.000 0.000 0.000
As 0.000 2.344 0.000
As 2.344 0.000 0.000
Au 2.344 2.344 2.391
Br 0.000 0.000 2.391
```

Calculated values
energy above the lowest structure with this stoichiometry	101.7	kJ/mol of formula units
ΔE_f (raw)	0.516	eV/atom